# 1
First-principles (PBE) data for an optimized crystal structure of YZn6Cu, as listed in Alexandria.

a = 4.092 Å, b = 4.092 Å, c = 8.329 Å
α = 90.00°, β = 90.00°, γ = 90.00°
Positions (direct):
Zn: 0.000 0.500 0.670
Zn: 0.000 0.500 0.330
Cu: 0.000 0.000 0.500
Zn: 0.500 0.500 0.145
Zn: 0.500 0.500 0.855
Zn: 0.500 0.000 0.330
Zn: 0.500 0.000 0.670
Y: 0.000 0.000 0.000

Results
- symmetry = P4/mmm (123)
- formation enthalpy at 0 K (meV/atom) = -164

# 2
First-principles (PBE) data for an optimized crystal structure of TbZrTi2O8, as listed in Alexandria.

a = 5.104 Å, b = 5.104 Å, c = 6.518 Å
α = 113.05°, β = 113.05°, γ = 90.00°
Positions (direct):
O: 0.997 0.398 0.318
Zr: 0.000 0.000 0.000
O: 0.680 0.235 0.836
O: 0.399 0.320 0.164
Ti: 0.500 0.500 0.000
O: 0.157 0.601 0.836
O: 0.080 0.003 0.682
Ti: 0.250 0.750 0.500
O: 0.765 0.843 0.164
O: 0.602 0.679 0.682
O: 0.321 0.920 0.318
Tb: 0.750 0.250 0.500

Results
- symmetry = I-4 (82)
- formation energy (no corrections) (eV/atom) = -3.03

# 3
First-principles (PBE) data for an optimized crystal structure of PaFeH, as listed in Alexandria.

a = 3.485 Å, b = 3.602 Å, c = 3.602 Å
α = 120.00°, β = 90.00°, γ = 90.00°
Positions (direct):
Fe: 0.833 0.000 0.000
H: 0.833 0.333 0.667
Pa: 0.333 0.667 0.333

Results
- uncorrected energy (eV/atom) = -7.10
- symmetry = P-6m2 (187)

# 4
First-principles (PBE) data for an optimized crystal structure of TaVTcSe2, as listed in Alexandria.

a = 4.658 Å, b = 4.445 Å, c = 4.658 Å
α = 90.00°, β = 90.00°, γ = 90.00°
Positions (direct):
Se: 0.000 0.000 0.500
Ta: 0.500 0.500 0.500
Tc: 0.000 0.500 0.000
Se: 0.500 0.000 0.000
V: 0.000 0.000 0.000

Results
- symmetry = P4/mmm (123)
- formation energy (no corrections) (eV/atom) = 0.97

# 5
First-principles (PBE) data for an optimized crystal structure of La5Pr2Cu2Hg, as listed in Alexandria.

a = 3.902 Å, b = 12.648 Å, c = 12.648 Å
α = 90.00°, β = 90.00°, γ = 90.00°
Positions (direct):
La: 0.500 0.205 0.061
Cu: 0.000 0.374 0.126
La: 0.500 0.500 0.000
Pr: 0.000 0.677 0.177
Cu: 0.000 0.126 0.626
La: 0.500 0.939 0.205
Hg: 0.000 0.500 0.500
Pr: 0.000 0.177 0.323
La: 0.500 0.061 0.795
Cu: 0.000 0.626 0.874
Cu: 0.000 0.874 0.374
Pr: 0.000 0.323 0.823
La: 0.500 0.705 0.439
La: 0.500 0.000 0.500
Pr: 0.000 0.823 0.677
La: 0.500 0.295 0.561
La: 0.500 0.561 0.705
La: 0.500 0.795 0.939
La: 0.500 0.439 0.295
Hg: 0.000 0.000 0.000

Results
- symmetry = P4/mbm (127)
- formation enthalpy at 0 K (meV/atom) = -173

# 6
First-principles (PBE) data for an optimized crystal structure of Y2AlSb, as listed in Alexandria.

a = 5.254 Å, b = 5.254 Å, c = 5.254 Å
α = 60.00°, β = 60.00°, γ = 60.00°
Positions (direct):
Al: 0.500 0.500 0.500
Sb: 0.750 0.750 0.750
Y: 0.250 0.250 0.250
Y: 0.000 0.000 0.000

Results
- symmetry = F-43m (216)
- formation energy (no corrections) (eV/atom) = -0.07

# 7
First-principles (PBE) data for an optimized crystal structure of TbNd2Sm2Tm2, as listed in Alexandria.

a = 5.080 Å, b = 6.223 Å, c = 8.039 Å
α = 97.49°, β = 90.00°, γ = 114.09°
Positions (direct):
Tb: 0.000 0.000 0.000
Nd: 0.857 0.713 0.572
Tm: 0.715 0.430 0.140
Tm: 0.285 0.570 0.860
Sm: 0.429 0.858 0.281
Sm: 0.571 0.142 0.719
Nd: 0.143 0.287 0.428

Results
- symmetry = C2/m (12)
- formation enthalpy at 0 K (meV/atom) = 19

# 8
First-principles (PBE) data for an optimized crystal structure of AcHoTl, as listed in Alexandria.

a = 4.051 Å, b = 5.419 Å, c = 5.419 Å
α = 120.00°, β = 90.00°, γ = 90.00°
Positions (direct):
Ho: 0.168 0.667 0.333
Tl: 0.165 0.000 0.000
Ac: 0.667 0.333 0.667

Results
- symmetry = P3m1 (156)
- formation enthalpy at 0 K (meV/atom) = -155

# 9
First-principles (PBE) data for an optimized crystal structure of AcLa2Pm7, as listed in Alexandria.

a = 5.605 Å, b = 9.473 Å, c = 9.473 Å
α = 124.23°, β = 90.00°, γ = 90.00°
Positions (direct):
Pm: 0.500 0.935 0.702
Pm: 0.500 0.298 0.065
Pm: 0.000 0.771 0.229
Pm: 0.500 0.702 0.935
Pm: 0.000 0.229 0.771
La: 0.500 0.299 0.701
Ac: 0.000 0.000 0.000
La: 0.500 0.701 0.299
Pm: 0.500 0.065 0.298
Pm: 0.500 0.500 0.500

Results
- symmetry = Cmmm (65)
- formation enthalpy at 0 K (meV/atom) = 582

# 10
First-principles (PBE) data for an optimized crystal structure of Sc6ZnAg5, as listed in Alexandria.

a = 4.864 Å, b = 6.778 Å, c = 8.398 Å
α = 113.80°, β = 106.83°, γ = 90.00°
Positions (direct):
Ag: 0.666 0.666 0.332
Sc: 0.500 0.246 0.000
Zn: 0.000 0.000 0.000
Sc: 0.500 0.754 0.000
Sc: 0.165 0.917 0.331
Sc: 0.835 0.587 0.669
Ag: 0.334 0.334 0.668
Sc: 0.835 0.083 0.669
Ag: 0.000 0.500 0.000
Ag: 0.666 0.166 0.332
Sc: 0.165 0.413 0.331
Ag: 0.334 0.834 0.668

Results
- symmetry = Immm (71)
- formation enthalpy at 0 K (meV/atom) = -287